An optimized crystal structure of LiMn2Se. Source: Alexandria via LeMat-Bulk, functional PBE.

Cell: 5.855 5.855 5.855 Å, 90.00 90.00 90.00°
Sites, in units of the cell vectors:
Li 0.000 0.000 0.000
Li 0.000 0.500 0.500
Li 0.500 0.000 0.500
Li 0.500 0.500 0.000
Mn 0.000 0.000 0.500
Mn 0.000 0.500 0.000
Mn 0.250 0.250 0.750
Mn 0.250 0.750 0.250
Mn 0.500 0.000 0.000
Mn 0.500 0.500 0.500
Mn 0.750 0.250 0.250
Mn 0.750 0.750 0.750
Se 0.250 0.250 0.250
Se 0.250 0.750 0.750
Se 0.750 0.250 0.750
Se 0.750 0.750 0.250

An optimized crystal structure of LiMn2Se. Source: Alexandria via LeMat-Bulk, functional PBE.

Cell: 7.386 7.386 5.202 Å, 90.00 90.00 90.00°
Sites, in units of the cell vectors:
Li 0.000 0.000 0.000
Li 0.000 0.500 0.250
Li 0.500 0.000 0.750
Li 0.500 0.500 0.500
Mn 0.208 0.250 0.625
Mn 0.250 0.708 0.875
Mn 0.250 0.792 0.375
Mn 0.292 0.250 0.125
Mn 0.708 0.750 0.125
Mn 0.750 0.208 0.375
Mn 0.750 0.292 0.875
Mn 0.792 0.750 0.625
Se 0.000 0.000 0.500
Se 0.000 0.500 0.750
Se 0.500 0.000 0.250
Se 0.500 0.500 0.000

An optimized crystal structure of LiMn2Se2. Source: Alexandria via LeMat-Bulk, functional PBE.

Cell: 8.051 8.051 4.558 Å, 106.15 106.15 118.11°
Sites, in units of the cell vectors:
Li 0.239 0.761 0.750
Li 0.761 0.239 0.250
Mn 0.291 0.419 0.861
Mn 0.419 0.291 0.361
Mn 0.581 0.709 0.639
Mn 0.709 0.581 0.139
Se 0.134 0.392 0.272
Se 0.392 0.134 0.772
Se 0.608 0.866 0.228
Se 0.866 0.608 0.728

An optimized crystal structure of LiMnSe. Source: Alexandria via LeMat-Bulk, functional PBE.

Cell: 5.965 5.965 5.965 Å, 90.00 90.00 90.00°
Sites, in units of the cell vectors:
Li 0.000 0.000 0.000
Li 0.000 0.500 0.500
Li 0.500 0.000 0.500
Li 0.500 0.500 0.000
Mn 0.000 0.000 0.500
Mn 0.000 0.500 0.000
Mn 0.500 0.000 0.000
Mn 0.500 0.500 0.500
Se 0.250 0.250 0.750
Se 0.250 0.750 0.250
Se 0.750 0.250 0.250
Se 0.750 0.750 0.750

An optimized crystal structure of Li2Mn2Se3. Source: Alexandria via LeMat-Bulk, functional PBE.

Cell: 4.003 6.763 6.872 Å, 111.41 106.72 90.21°
Sites, in units of the cell vectors:
Li 0.112 0.409 0.229
Li 0.888 0.591 0.771
Mn 0.321 0.186 0.641
Mn 0.679 0.814 0.359
Se 0.297 0.790 0.596
Se 0.500 0.500 0.000
Se 0.703 0.210 0.404

An optimized crystal structure of LiMnSe. Source: Alexandria via LeMat-Bulk, functional PBE.

Cell: 5.973 5.973 5.973 Å, 90.00 90.00 90.00°
Sites, in units of the cell vectors:
Li 0.000 0.000 0.000
Li 0.000 0.500 0.500
Li 0.500 0.000 0.500
Li 0.500 0.500 0.000
Mn 0.250 0.250 0.750
Mn 0.250 0.750 0.250
Mn 0.750 0.250 0.250
Mn 0.750 0.750 0.750
Se 0.000 0.000 0.500
Se 0.000 0.500 0.000
Se 0.500 0.000 0.000
Se 0.500 0.500 0.500

An optimized crystal structure of LiMn4Se8. Source: Alexandria via LeMat-Bulk, functional PBE.

Cell: 7.337 7.337 7.337 Å, 60.00 60.00 60.00°
Sites, in units of the cell vectors:
Li 0.000 0.000 0.000
Mn 0.133 0.622 0.622
Mn 0.622 0.133 0.622
Mn 0.622 0.622 0.133
Mn 0.622 0.622 0.622
Se 0.383 0.383 0.383
Se 0.383 0.383 0.852
Se 0.383 0.852 0.383
Se 0.407 0.864 0.864
Se 0.852 0.383 0.383
Se 0.864 0.407 0.864
Se 0.864 0.864 0.407
Se 0.864 0.864 0.864

An optimized crystal structure of LiMn2Se. Source: Alexandria via LeMat-Bulk, functional PBE.

Cell: 3.600 3.210 6.049 Å, 90.00 107.23 90.00°
Sites, in units of the cell vectors:
Li 0.000 0.000 0.000
Mn 0.354 0.500 0.705
Mn 0.736 0.000 0.467
Se 0.575 0.500 0.150

An optimized crystal structure of Li3Mn5Se12. Source: Alexandria via LeMat-Bulk, functional PBE.

Cell: 13.185 13.185 13.185 Å, 109.47 109.47 109.47°
Sites, in units of the cell vectors:
Li 0.125 0.250 0.375
Li 0.125 0.375 0.750
Li 0.250 0.375 0.125
Li 0.250 0.875 0.625
Li 0.375 0.125 0.250
Li 0.375 0.750 0.125
Li 0.625 0.250 0.875
Li 0.625 0.875 0.750
Li 0.750 0.125 0.375
Li 0.750 0.625 0.875
Li 0.875 0.625 0.250
Li 0.875 0.750 0.625
Mn 0.000 0.000 0.000
Mn 0.000 0.000 0.500
Mn 0.000 0.500 0.000
Mn 0.000 0.500 0.500
Mn 0.125 0.750 0.875
Mn 0.125 0.875 0.250
Mn 0.250 0.125 0.875
Mn 0.250 0.625 0.375
Mn 0.375 0.250 0.625
Mn 0.375 0.625 0.750
Mn 0.500 0.000 0.000
Mn 0.500 0.000 0.500
Mn 0.500 0.500 0.000
Mn 0.500 0.500 0.500
Mn 0.625 0.375 0.250
Mn 0.625 0.750 0.375
Mn 0.750 0.375 0.625
Mn 0.750 0.875 0.125
Mn 0.875 0.125 0.750
Mn 0.875 0.250 0.125
Se 0.033 0.214 0.106
Se 0.033 0.319 0.927
Se 0.073 0.606 0.392
Se 0.073 0.967 0.681
Se 0.106 0.033 0.214
Se 0.106 0.573 0.892
Se 0.108 0.714 0.681
Se 0.108 0.894 0.427
Se 0.181 0.214 0.608
Se 0.181 0.467 0.573
Se 0.214 0.106 0.033
Se 0.214 0.608 0.181
Se 0.286 0.319 0.892
Se 0.286 0.467 0.394
Se 0.319 0.892 0.286
Se 0.319 0.927 0.033
Se 0.392 0.073 0.606
Se 0.392 0.819 0.786
Se 0.394 0.286 0.467
Se 0.394 0.608 0.927
Se 0.427 0.108 0.894
Se 0.427 0.819 0.533
Se 0.467 0.394 0.286
Se 0.467 0.573 0.181
Se 0.533 0.427 0.819
Se 0.533 0.606 0.714
Se 0.573 0.181 0.467
Se 0.573 0.892 0.106
Se 0.606 0.392 0.073
Se 0.606 0.714 0.533
Se 0.608 0.181 0.214
Se 0.608 0.927 0.394
Se 0.681 0.073 0.967
Se 0.681 0.108 0.714
Se 0.714 0.533 0.606
Se 0.714 0.681 0.108
Se 0.786 0.392 0.819
Se 0.786 0.894 0.967
Se 0.819 0.533 0.427
Se 0.819 0.786 0.392
Se 0.892 0.106 0.573
Se 0.892 0.286 0.319
Se 0.894 0.427 0.108
Se 0.894 0.967 0.786
Se 0.927 0.033 0.319
Se 0.927 0.394 0.608
Se 0.967 0.681 0.073
Se 0.967 0.786 0.894

An optimized crystal structure of LiMn2Se. Source: Alexandria via LeMat-Bulk, functional PBE.

Cell: 3.711 3.711 8.346 Å, 90.00 90.00 90.00°
Sites, in units of the cell vectors:
Li 0.000 0.000 0.000
Li 0.500 0.500 0.500
Mn 0.000 0.500 0.250
Mn 0.000 0.500 0.750
Mn 0.500 0.000 0.250
Mn 0.500 0.000 0.750
Se 0.000 0.000 0.500
Se 0.500 0.500 0.000

An optimized crystal structure of LiMn2Se. Source: Alexandria via LeMat-Bulk, functional PBE.

Cell: 3.433 3.433 5.401 Å, 90.00 90.00 90.00°
Sites, in units of the cell vectors:
Li 0.000 0.000 0.000
Mn 0.500 0.500 0.248
Mn 0.500 0.500 0.752
Se 0.000 0.000 0.500

An optimized crystal structure of LiMn3Se4. Source: Alexandria via LeMat-Bulk, functional PBE.

Cell: 5.358 8.936 7.770 Å, 90.00 90.00 90.00°
Sites, in units of the cell vectors:
Li 0.250 0.250 0.160
Li 0.750 0.750 0.840
Mn 0.250 0.508 0.668
Mn 0.250 0.750 0.170
Mn 0.250 0.992 0.668
Mn 0.750 0.008 0.332
Mn 0.750 0.250 0.830
Mn 0.750 0.492 0.332
Se 0.250 0.250 0.817
Se 0.250 0.506 0.339
Se 0.250 0.750 0.841
Se 0.250 0.994 0.339
Se 0.750 0.006 0.661
Se 0.750 0.250 0.159
Se 0.750 0.494 0.661
Se 0.750 0.750 0.183

E? In order: -94.30, -90.85, -58.94, -62.99, -37.45, -61.03, -73.45, -23.66, -405.86, -47.49, -23.39, -95.45 eV/cell.
Raw formation energy? In order: 0.0404, 0.2566, -0.4497, -0.3928, -0.6907, -0.2299, -0.5369, 0.0184, -0.4031, -0.0023, 0.0856, -0.5456 eV/atom.